# PBE Sm2Ho2Mg, relaxed
data_Sm2Ho2Mg
_cell_length_a 4.381
_cell_length_b 4.381
_cell_length_c 17.491
_cell_angle_alpha 90.00
_cell_angle_beta 90.00
_cell_angle_gamma 90.00
_symmetry_space_group_name_H-M 'I 4/m m m'
_symmetry_Int_Tables_number 139
_symmetry_space_group_name_Hall '-I 4 2'
loop_
_atom_site_label
_atom_site_type_symbol
_atom_site_fract_x
_atom_site_fract_y
_atom_site_fract_z
Sm1 Sm 0.000 0.000 0.093
Ho1 Ho 0.000 0.500 0.250
Mg1 Mg 0.000 0.000 0.500
# - ΔE_f (meV per atom) = 365
# - DOS at the Fermi energy (states/eV/cell) = 13.18